Record 1
# ScNi4Os2 PBE relaxed
data_ScNi4Os2
_chemical_formula_sum 'Sc2 Ni8 Os4'
_cell_length_a 4.4007
_cell_length_b 4.4007
_cell_length_c 12.1037
_cell_angle_alpha 90.00
_cell_angle_beta 90.00
_cell_angle_gamma 90.00
_space_group_name_H-M_alt 'I 4/m m m'
_space_group_IT_number 139
_space_group_name_Hall '-I 4 2'
loop_
_atom_site_label
_atom_site_fract_x
_atom_site_fract_y
_atom_site_fract_z
Sc1 0.0000 0.0000 0.0000
Ni1 0.0000 0.0000 0.2082
Ni2 0.0000 0.5000 0.0000
Os1 0.0000 0.0000 0.3985
# Electronic total energy = -6.31 eV/atom
# Formation energy from the elements = 1111 meV per atom
# Volume = 234 Å³/cell

Record 2
# Sc2NiOs PBE relaxed
data_Sc2NiOs
_chemical_formula_sum 'Sc8 Ni4 Os4'
_cell_length_a 6.3932
_cell_length_b 6.3932
_cell_length_c 6.3932
_cell_angle_alpha 90.00
_cell_angle_beta 90.00
_cell_angle_gamma 90.00
_space_group_name_H-M_alt 'F m -3 m'
_space_group_IT_number 225
_space_group_name_Hall '-F 4 2 3'
loop_
_atom_site_label
_atom_site_fract_x
_atom_site_fract_y
_atom_site_fract_z
Sc1 0.2500 0.2500 0.2500
Ni1 0.0000 0.0000 0.0000
Os1 0.0000 0.0000 0.5000
# Electronic total energy = -7.91 eV/atom
# Formation energy from the elements = -495 meV per atom
# E above lowest polymorph = 7 meV per atom
# Volume = 261 Å³/cell

Record 3
# Sc8Ni2Os PBE relaxed
data_Sc8Ni2Os
_chemical_formula_sum 'Sc16 Ni4 Os2'
_cell_length_a 15.7159
_cell_length_b 4.6831
_cell_length_c 6.2857
_cell_angle_alpha 90.00
_cell_angle_beta 108.79
_cell_angle_gamma 90.00
_space_group_name_H-M_alt 'C 1 2/m 1'
_space_group_IT_number 12
loop_
_space_group_symop_operation_xyz
'x,y,z'
'-x,-y,-z'
'-x,y,-z'
'x,-y,z'
'x+1/2,y+1/2,z'
'-x+1/2,-y+1/2,-z'
'-x+1/2,y+1/2,-z'
'x+1/2,-y+1/2,z'
loop_
_atom_site_label
_atom_site_fract_x
_atom_site_fract_y
_atom_site_fract_z
Sc1 0.0325 0.0000 0.2938
Sc2 0.0966 0.5000 0.9507
Sc3 0.1706 0.5000 0.4713
Sc4 0.1950 0.0000 0.8067
Ni1 0.1833 0.0000 0.1942
Os1 0.0000 0.5000 0.5000
# Electronic total energy = -7.01 eV/atom
# Formation energy from the elements = -332 meV per atom
# Volume = 438 Å³/cell